(1)
## TbNd12Rh7 (GGA-PBE)

Data for a geometry-optimized TbNd12Rh7 structure.

Results
energy of formation	-0.471	eV/atom

abc: 9.015 9.015 9.015
angles: 107.10 107.10 107.10
Sites, in units of the cell vectors:
1 Tb 0.000 0.000 0.000
2 Nd 0.924 0.309 0.777
3 Nd 0.691 0.223 0.076
4 Nd 0.460 0.156 0.380
5 Nd 0.844 0.620 0.540
6 Nd 0.223 0.076 0.691
7 Nd 0.620 0.540 0.844
8 Nd 0.380 0.460 0.156
9 Nd 0.777 0.924 0.309
10 Nd 0.156 0.380 0.460
11 Nd 0.540 0.844 0.620
12 Nd 0.309 0.777 0.924
13 Nd 0.076 0.691 0.223
14 Rh 0.965 0.650 0.880
15 Rh 0.350 0.120 0.035
16 Rh 0.120 0.035 0.350
17 Rh 0.500 0.500 0.500
18 Rh 0.880 0.965 0.650
19 Rh 0.650 0.880 0.965
20 Rh 0.035 0.350 0.120

(2)
## Nd2HoTe (GGA-PBE)

Data for a geometry-optimized Nd2HoTe structure.

Results
ΔE to the lowest computed polymorph	0	meV/atom
raw formation energy	-0.57	eV per atom

abc: 3.991 3.991 7.903
angles: 90.00 90.00 90.00
Sites, in units of the cell vectors:
1 Te 0.500 0.500 0.500
2 Nd 0.000 0.000 0.726
3 Nd 0.000 0.000 0.274
4 Ho 0.500 0.500 0.000